[1]
! PBE MnGePHCN, optimized geometry; values from VASP
! - Offset from the most stable computed form: 22.84 kJ per mole of atoms
! - V: 75.5 Å³/cell
! - Calculated density: 4081 kg/m3
&SYSTEM
  ibrav = 0, nat = 6, ntyp = 6
/
ATOMIC_SPECIES
Mn 54.94 Mn.upf
Ge 72.64 Ge.upf
P 30.97 P.upf
H 1.01 H.upf
C 12.01 C.upf
N 14.01 N.upf
CELL_PARAMETERS angstrom
4.0295 0.0000 0.0000
-0.6579 4.1228 0.0000
-1.0852 -0.3947 4.5449
ATOMIC_POSITIONS crystal
Mn 0.0000 0.0000 0.0000
Ge 0.7038 0.5978 0.5669
P 0.1043 0.5300 0.2406
H 0.1900 0.0439 0.3271
C 0.6144 0.1832 0.7648
N 0.3513 0.1019 0.8596

=====

[2]
! PBE TaCu2Te, optimized geometry; values from VASP
! - Uncorrected formation energy: 4.9 kcal/mol of atoms
! - V: 65.3 Å³/cell
! - Calculated density: 11076 kg/m3
&SYSTEM
  ibrav = 0, nat = 4, ntyp = 3
/
ATOMIC_SPECIES
Ta 180.95 Ta.upf
Cu 63.55 Cu.upf
Te 127.60 Te.upf
CELL_PARAMETERS angstrom
4.8165 -1.9083 0.0000
4.8165 1.9083 0.0000
-1.5591 0.0000 3.5530
ATOMIC_POSITIONS crystal
Ta 0.0000 0.0000 0.0000
Cu 0.4946 0.4946 0.4936
Cu 0.7521 0.7521 0.2536
Te 0.2483 0.2483 0.7492

=====

[3]
! PBE La5Ge3, optimized geometry; values from VASP
! - Offset from the most stable computed form: 1.30 kJ per mole of atoms
! - DFT formation energy: -0.70 eV/atom
! - V: 488.6 Å³/cell
! - Calculated density: 6202 kg/m3
&SYSTEM
  ibrav = 0, nat = 16, ntyp = 2
/
ATOMIC_SPECIES
La 138.91 La.upf
Ge 72.64 Ge.upf
CELL_PARAMETERS angstrom
9.0236 0.0000 0.0000
-4.5118 7.8146 0.0000
0.0000 0.0000 6.9286
ATOMIC_POSITIONS crystal
La 0.0000 0.2475 0.2500
La 0.0000 0.7525 0.7500
La 0.2475 0.0000 0.2500
La 0.2475 0.2475 0.7500
La 0.3333 0.6667 0.0000
La 0.3333 0.6667 0.5000
La 0.6667 0.3333 0.0000
La 0.6667 0.3333 0.5000
La 0.7525 0.0000 0.7500
La 0.7525 0.7525 0.2500
Ge 0.0000 0.3926 0.7500
Ge 0.0000 0.6074 0.2500
Ge 0.3926 0.0000 0.7500
Ge 0.3926 0.3926 0.2500
Ge 0.6074 0.0000 0.2500
Ge 0.6074 0.6074 0.7500

=====

[4]
! PBE ReSi4Au, optimized geometry; values from VASP
! - Uncorrected formation energy: 15.0 kcal/mol of atoms
! - V: 86.7 Å³/cell
! - Calculated density: 9490 kg/m3
&SYSTEM
  ibrav = 0, nat = 6, ntyp = 3
/
ATOMIC_SPECIES
Re 186.21 Re.upf
Si 28.09 Si.upf
Au 196.97 Au.upf
CELL_PARAMETERS angstrom
0.0000 3.5130 3.5130
3.5130 0.0000 3.5130
3.5130 3.5130 0.0000
ATOMIC_POSITIONS crystal
Re 0.0000 0.0000 0.0000
Si 0.1220 0.6260 0.6260
Si 0.6260 0.1220 0.6260
Si 0.6260 0.6260 0.1220
Si 0.6260 0.6260 0.6260
Au 0.2500 0.2500 0.2500

=====

[5]
! PBE Li5Sm3Te12, optimized geometry; values from VASP
! - Uncorrected formation energy: -15.8 kcal/mol of atoms
! - V: 2829.2 Å³/cell
! - Calculated density: 4735 kg/m3
&SYSTEM
  ibrav = 0, nat = 80, ntyp = 3
/
ATOMIC_SPECIES
Li 6.94 Li.upf
Sm 150.36 Sm.upf
Te 127.60 Te.upf
CELL_PARAMETERS angstrom
-8.9098 8.9098 8.9098
8.9098 -8.9098 8.9098
8.9098 8.9098 -8.9098
ATOMIC_POSITIONS crystal
Li 0.0000 0.0000 0.0000
Li 0.0000 0.0000 0.5000
Li 0.0000 0.5000 0.0000
Li 0.0000 0.5000 0.5000
Li 0.1250 0.7500 0.8750
Li 0.1250 0.8750 0.2500
Li 0.2500 0.1250 0.8750
Li 0.2500 0.6250 0.3750
Li 0.3750 0.2500 0.6250
Li 0.3750 0.6250 0.7500
Li 0.5000 0.0000 0.0000
Li 0.5000 0.0000 0.5000
Li 0.5000 0.5000 0.0000
Li 0.5000 0.5000 0.5000
Li 0.6250 0.3750 0.2500
Li 0.6250 0.7500 0.3750
Li 0.7500 0.3750 0.6250
Li 0.7500 0.8750 0.1250
Li 0.8750 0.1250 0.7500
Li 0.8750 0.2500 0.1250
Sm 0.1250 0.2500 0.3750
Sm 0.1250 0.3750 0.7500
Sm 0.2500 0.3750 0.1250
Sm 0.2500 0.8750 0.6250
Sm 0.3750 0.1250 0.2500
Sm 0.3750 0.7500 0.1250
Sm 0.6250 0.2500 0.8750
Sm 0.6250 0.8750 0.7500
Sm 0.7500 0.1250 0.3750
Sm 0.7500 0.6250 0.8750
Sm 0.8750 0.6250 0.2500
Sm 0.8750 0.7500 0.6250
Te 0.0605 0.2540 0.1503
Te 0.0605 0.3065 0.9102
Te 0.0898 0.6503 0.3963
Te 0.0898 0.9395 0.6935
Te 0.1037 0.7540 0.6935
Te 0.1037 0.8497 0.4102
Te 0.1503 0.0605 0.2540
Te 0.1503 0.5898 0.8963
Te 0.1935 0.2540 0.6037
Te 0.1935 0.4395 0.5898
Te 0.2460 0.3065 0.8963
Te 0.2460 0.4395 0.3497
Te 0.2540 0.1503 0.0605
Te 0.2540 0.6037 0.1935
Te 0.3065 0.8963 0.2460
Te 0.3065 0.9102 0.0605
Te 0.3497 0.2460 0.4395
Te 0.3497 0.6037 0.9102
Te 0.3963 0.0898 0.6503
Te 0.3963 0.8065 0.7460
Te 0.4102 0.1037 0.8497
Te 0.4102 0.8065 0.5605
Te 0.4395 0.3497 0.2460
Te 0.4395 0.5898 0.1935
Te 0.5605 0.4102 0.8065
Te 0.5605 0.6503 0.7540
Te 0.5898 0.1935 0.4395
Te 0.5898 0.8963 0.1503
Te 0.6037 0.1935 0.2540
Te 0.6037 0.9102 0.3497
Te 0.6503 0.3963 0.0898
Te 0.6503 0.7540 0.5605
Te 0.6935 0.0898 0.9395
Te 0.6935 0.1037 0.7540
Te 0.7460 0.3963 0.8065
Te 0.7460 0.8497 0.9395
Te 0.7540 0.5605 0.6503
Te 0.7540 0.6935 0.1037
Te 0.8065 0.5605 0.4102
Te 0.8065 0.7460 0.3963
Te 0.8497 0.4102 0.1037
Te 0.8497 0.9395 0.7460
Te 0.8963 0.1503 0.5898
Te 0.8963 0.2460 0.3065
Te 0.9102 0.0605 0.3065
Te 0.9102 0.3497 0.6037
Te 0.9395 0.6935 0.0898
Te 0.9395 0.7460 0.8497

=====

[6]
! PBE RbInPb, optimized geometry; values from VASP
! - DFT formation energy: 0.33 eV/atom
! - V: 415.4 Å³/cell
! - Calculated density: 3257 kg/m3
&SYSTEM
  ibrav = 0, nat = 6, ntyp = 3
/
ATOMIC_SPECIES
Rb 85.47 Rb.upf
In 114.82 In.upf
Pb 207.20 Pb.upf
CELL_PARAMETERS angstrom
6.5254 0.0000 0.0000
-3.2627 5.6511 0.0000
0.0000 0.0000 11.2660
ATOMIC_POSITIONS crystal
Rb 0.3333 0.6667 0.2500
Rb 0.6667 0.3333 0.7500
In 0.0000 0.0000 0.2500
In 0.0000 0.0000 0.7500
Pb 0.0000 0.0000 0.0000
Pb 0.0000 0.0000 0.5000

=====

[7]
! PBE Rb2CaBe2, optimized geometry; values from VASP
! - DFT formation energy: 0.86 eV/atom
! - V: 175.7 Å³/cell
! - Calculated density: 2164 kg/m3
&SYSTEM
  ibrav = 0, nat = 5, ntyp = 3
/
ATOMIC_SPECIES
Rb 85.47 Rb.upf
Ca 40.08 Ca.upf
Be 9.01 Be.upf
CELL_PARAMETERS angstrom
-2.4244 2.4244 7.4746
2.4244 -2.4244 7.4746
2.4244 2.4244 -7.4746
ATOMIC_POSITIONS crystal
Rb 0.2500 0.7500 0.5000
Rb 0.7500 0.2500 0.5000
Ca 0.0000 0.0000 0.0000
Be 0.4308 0.4308 0.0000
Be 0.5692 0.5692 0.0000

=====

[8]
! PBE TcSbTe2, optimized geometry; values from VASP
! - Uncorrected formation energy: 1.0 kcal/mol of atoms
! - V: 107.4 Å³/cell
! - Calculated density: 7342 kg/m3
&SYSTEM
  ibrav = 0, nat = 4, ntyp = 3
/
ATOMIC_SPECIES
Tc 98.00 Tc.upf
Sb 121.76 Sb.upf
Te 127.60 Te.upf
CELL_PARAMETERS angstrom
3.1768 0.0000 0.0000
0.0000 3.1768 0.0000
0.0000 0.0000 10.6452
ATOMIC_POSITIONS crystal
Tc 0.0000 0.0000 0.0000
Sb 0.5000 0.5000 0.8269
Te 0.0000 0.0000 0.4850
Te 0.5000 0.5000 0.1493

=====

[9]
! PBE Hg2Sb, optimized geometry; values from VASP
! - Offset from the most stable computed form: 4.56 kJ per mole of atoms
! - Uncorrected formation energy: 3.3 kcal/mol of atoms
! - V: 80.6 Å³/cell
! - Calculated density: 10774 kg/m3
&SYSTEM
  ibrav = 0, nat = 3, ntyp = 2
/
ATOMIC_SPECIES
Hg 200.59 Hg.upf
Sb 121.76 Sb.upf
CELL_PARAMETERS angstrom
-1.5676 2.8383 4.5290
1.5676 -2.8383 4.5290
1.5676 2.8383 -4.5290
ATOMIC_POSITIONS crystal
Hg 0.1651 0.1651 0.0000
Hg 0.8349 0.8349 0.0000
Sb 0.5000 0.5000 0.0000

=====

[10]
! PBE Th2BePt, optimized geometry; values from VASP
! - DFT formation energy: 0.39 eV/atom
! - V: 131.2 Å³/cell
! - Calculated density: 8458 kg/m3
&SYSTEM
  ibrav = 0, nat = 4, ntyp = 3
/
ATOMIC_SPECIES
Th 232.04 Th.upf
Be 9.01 Be.upf
Pt 195.08 Pt.upf
CELL_PARAMETERS angstrom
2.0122 1.1617 9.3526
-2.0122 1.1617 9.3526
0.0000 -2.3235 9.3526
ATOMIC_POSITIONS crystal
Th 0.1057 0.1057 0.1057
Th 0.8943 0.8943 0.8943
Be 0.0000 0.0000 0.0000
Pt 0.5000 0.5000 0.5000

=====

[11]
! PBE LaY2Zn6, optimized geometry; values from VASP
! - DFT formation energy: -0.37 eV/atom
! - V: 191.2 Å³/cell
! - Calculated density: 6161 kg/m3
&SYSTEM
  ibrav = 0, nat = 9, ntyp = 3
/
ATOMIC_SPECIES
La 138.91 La.upf
Y 88.91 Y.upf
Zn 65.41 Zn.upf
CELL_PARAMETERS angstrom
7.8528 0.0000 0.0000
-3.9264 6.8007 0.0000
0.0000 0.0000 3.5793
ATOMIC_POSITIONS crystal
La 0.0000 0.0000 0.0000
Y 0.3333 0.6667 0.0000
Y 0.6667 0.3333 0.0000
Zn 0.0000 0.3384 0.5000
Zn 0.0000 0.6616 0.5000
Zn 0.3384 0.0000 0.5000
Zn 0.3384 0.3384 0.5000
Zn 0.6616 0.0000 0.5000
Zn 0.6616 0.6616 0.5000

=====

[12]
! PBE Zr6Fe7Si16, optimized geometry; values from VASP
! - Uncorrected formation energy: -13.3 kcal/mol of atoms
! - V: 391.1 Å³/cell
! - Calculated density: 5891 kg/m3
&SYSTEM
  ibrav = 0, nat = 29, ntyp = 3
/
ATOMIC_SPECIES
Zr 91.22 Zr.upf
Fe 55.84 Fe.upf
Si 28.09 Si.upf
CELL_PARAMETERS angstrom
0.0000 5.8046 5.8046
5.8046 0.0000 5.8046
5.8046 5.8046 0.0000
ATOMIC_POSITIONS crystal
Zr 0.1988 0.1988 0.8012
Zr 0.1988 0.8012 0.1988
Zr 0.1988 0.8012 0.8012
Zr 0.8012 0.1988 0.1988
Zr 0.8012 0.1988 0.8012
Zr 0.8012 0.8012 0.1988
Fe 0.0000 0.0000 0.5000
Fe 0.0000 0.5000 0.0000
Fe 0.0000 0.5000 0.5000
Fe 0.5000 0.0000 0.0000
Fe 0.5000 0.0000 0.5000
Fe 0.5000 0.5000 0.0000
Fe 0.5000 0.5000 0.5000
Si 0.1412 0.6196 0.6196
Si 0.1648 0.1648 0.1648
Si 0.1648 0.1648 0.5056
Si 0.1648 0.5056 0.1648
Si 0.3804 0.3804 0.3804
Si 0.3804 0.3804 0.8588
Si 0.3804 0.8588 0.3804
Si 0.4944 0.8352 0.8352
Si 0.5056 0.1648 0.1648
Si 0.6196 0.1412 0.6196
Si 0.6196 0.6196 0.1412
Si 0.6196 0.6196 0.6196
Si 0.8352 0.4944 0.8352
Si 0.8352 0.8352 0.4944
Si 0.8352 0.8352 0.8352
Si 0.8588 0.3804 0.3804

=====

[13]
! PBE NiHgP2, optimized geometry; values from VASP
! - DFT formation energy: 0.56 eV/atom
! - V: 65.0 Å³/cell
! - Calculated density: 8207 kg/m3
&SYSTEM
  ibrav = 0, nat = 4, ntyp = 3
/
ATOMIC_SPECIES
Ni 58.69 Ni.upf
Hg 200.59 Hg.upf
P 30.97 P.upf
CELL_PARAMETERS angstrom
2.6055 -3.5318 0.0000
2.6055 3.5318 0.0000
0.0000 0.0000 3.5316
ATOMIC_POSITIONS crystal
Ni 0.0000 0.0000 0.0000
Hg 0.5000 0.5000 0.0000
P 0.0000 0.5000 0.5000
P 0.5000 0.0000 0.5000

=====

[14]
! PBE GdLuThAl, optimized geometry; values from VASP
! - DFT formation energy: -0.04 eV/atom
! - V: 109.3 Å³/cell
! - Calculated density: 8982 kg/m3
&SYSTEM
  ibrav = 0, nat = 4, ntyp = 4
/
ATOMIC_SPECIES
Gd 157.25 Gd.upf
Lu 174.97 Lu.upf
Th 232.04 Th.upf
Al 26.98 Al.upf
CELL_PARAMETERS angstrom
0.0000 3.7949 3.7949
3.7949 0.0000 3.7949
3.7949 3.7949 0.0000
ATOMIC_POSITIONS crystal
Gd 0.0000 0.0000 0.0000
Lu 0.7500 0.7500 0.7500
Th 0.5000 0.5000 0.5000
Al 0.2500 0.2500 0.2500

=====

[15]
! PBE PmNbBi2, optimized geometry; values from VASP
! - Offset from the most stable computed form: 0.00 kJ per mole of atoms
! - DFT formation energy: -0.17 eV/atom
! - V: 102.9 Å³/cell
! - Calculated density: 10582 kg/m3
&SYSTEM
  ibrav = 0, nat = 4, ntyp = 3
/
ATOMIC_SPECIES
Pm 145.00 Pm.upf
Nb 92.91 Nb.upf
Bi 208.98 Bi.upf
CELL_PARAMETERS angstrom
3.6069 0.0000 0.0000
0.0000 3.6069 0.0000
0.0000 0.0000 7.9113
ATOMIC_POSITIONS crystal
Pm 0.0000 0.0000 0.0000
Nb 0.0000 0.0000 0.5000
Bi 0.5000 0.5000 0.2849
Bi 0.5000 0.5000 0.7151

=====

[16]
! PBE LaMg2Tl, optimized geometry; values from VASP
! - Offset from the most stable computed form: 12.04 kJ per mole of atoms
! - DFT formation energy: -0.10 eV/atom
! - V: 110.7 Å³/cell
! - Calculated density: 5877 kg/m3
&SYSTEM
  ibrav = 0, nat = 4, ntyp = 3
/
ATOMIC_SPECIES
La 138.91 La.upf
Mg 24.30 Mg.upf
Tl 204.38 Tl.upf
CELL_PARAMETERS angstrom
3.7434 0.0000 0.0000
0.0000 3.7434 0.0000
0.0000 0.0000 7.9026
ATOMIC_POSITIONS crystal
La 0.0000 0.0000 0.0000
Mg 0.5000 0.5000 0.2862
Mg 0.5000 0.5000 0.7138
Tl 0.0000 0.0000 0.5000

=====

[17]
! PBE K2ZrRe, optimized geometry; values from VASP
! - Offset from the most stable computed form: 34.51 kJ per mole of atoms
! - DFT formation energy: 1.00 eV/atom
! - V: 138.6 Å³/cell
! - Calculated density: 4260 kg/m3
&SYSTEM
  ibrav = 0, nat = 4, ntyp = 3
/
ATOMIC_SPECIES
K 39.10 K.upf
Zr 91.22 Zr.upf
Re 186.21 Re.upf
CELL_PARAMETERS angstrom
-1.6229 3.2954 6.4800
1.6229 -3.2954 6.4800
1.6229 3.2954 -6.4800
ATOMIC_POSITIONS crystal
K 0.0000 0.0000 0.0000
K 0.6975 0.1975 0.5000
Zr 0.3184 0.8184 0.5000
Re 0.4615 0.4615 0.0000

=====

[18]
! PBE SnAs2Au2, optimized geometry; values from VASP
! - Offset from the most stable computed form: 3.23 kJ per mole of atoms
! - DFT formation energy: 0.15 eV/atom
! - V: 110.6 Å³/cell
! - Calculated density: 9948 kg/m3
&SYSTEM
  ibrav = 0, nat = 5, ntyp = 3
/
ATOMIC_SPECIES
Sn 118.71 Sn.upf
As 74.92 As.upf
Au 196.97 Au.upf
CELL_PARAMETERS angstrom
-2.1603 2.1603 5.9239
2.1603 -2.1603 5.9239
2.1603 2.1603 -5.9239
ATOMIC_POSITIONS crystal
Sn 0.0000 0.0000 0.0000
As 0.3898 0.3898 0.0000
As 0.6102 0.6102 0.0000
Au 0.2500 0.7500 0.5000
Au 0.7500 0.2500 0.5000

=====

[19]
! PBE Tb2Si4Pd3, optimized geometry; values from VASP
! - Uncorrected formation energy: -18.4 kcal/mol of atoms
! - V: 307.6 Å³/cell
! - Calculated density: 8091 kg/m3
&SYSTEM
  ibrav = 0, nat = 18, ntyp = 3
/
ATOMIC_SPECIES
Tb 158.93 Tb.upf
Si 28.09 Si.upf
Pd 106.42 Pd.upf
CELL_PARAMETERS angstrom
2.8174 -7.4555 0.0000
2.8174 7.4555 0.0000
0.0000 0.0000 7.3225
ATOMIC_POSITIONS crystal
Tb 0.1052 0.8948 0.9060
Tb 0.3948 0.6052 0.4060
Tb 0.6052 0.3948 0.5940
Tb 0.8948 0.1052 0.0940
Si 0.1782 0.8218 0.5221
Si 0.1874 0.3126 0.7500
Si 0.3126 0.1874 0.2500
Si 0.3218 0.6782 0.0221
Si 0.6782 0.3218 0.9779
Si 0.6874 0.8126 0.7500
Si 0.8126 0.6874 0.2500
Si 0.8218 0.1782 0.4779
Pd 0.0000 0.0000 0.5000
Pd 0.0224 0.4776 0.7500
Pd 0.4776 0.0224 0.2500
Pd 0.5000 0.5000 0.0000
Pd 0.5224 0.9776 0.7500
Pd 0.9776 0.5224 0.2500

=====

[20]
! PBE Zr2ScFe, optimized geometry; values from VASP
! - Offset from the most stable computed form: 27.58 kJ per mole of atoms
! - DFT formation energy: 0.19 eV/atom
! - V: 79.4 Å³/cell
! - Calculated density: 5927 kg/m3
&SYSTEM
  ibrav = 0, nat = 4, ntyp = 3
/
ATOMIC_SPECIES
Zr 91.22 Zr.upf
Sc 44.96 Sc.upf
Fe 55.84 Fe.upf
CELL_PARAMETERS angstrom
3.5900 0.0000 0.0000
0.0000 4.6253 0.0000
0.0000 0.0000 4.7790
ATOMIC_POSITIONS crystal
Zr 0.0000 0.0000 0.0000
Zr 0.5000 0.5000 0.0000
Sc 0.0000 0.5000 0.5000
Fe 0.5000 0.0000 0.5000

=====

[21]
! PBE BaNiN, optimized geometry; values from VASP
! - Uncorrected formation energy: -3.3 kcal/mol of atoms
! - V: 156.7 Å³/cell
! - Calculated density: 4452 kg/m3
&SYSTEM
  ibrav = 0, nat = 6, ntyp = 3
/
ATOMIC_SPECIES
Ba 137.33 Ba.upf
Ni 58.69 Ni.upf
N 14.01 N.upf
CELL_PARAMETERS angstrom
-2.3368 3.5089 4.7768
2.3368 -3.5089 4.7768
2.3368 3.5089 -4.7768
ATOMIC_POSITIONS crystal
Ba 0.2079 0.2079 0.0000
Ba 0.7921 0.7921 0.0000
Ni 0.1624 0.5000 0.6624
Ni 0.8376 0.5000 0.3376
N 0.4133 0.5000 0.9133
N 0.5867 0.5000 0.0867